1.
The following is a GGA-PBE calculation of SrCdP2W after structural relaxation, from Alexandria via LeMat-Bulk.

a b c (Å): 5.384 5.384 5.911
angles (deg): 90.00 90.00 90.00
Element x y z (fractional)
Sr1 0.000 0.000 0.000
Cd1 0.500 0.500 0.500
P1 0.000 0.500 0.000
P2 0.500 0.000 0.000
W1 0.000 0.000 0.500

Summary:
ΔH_f (0 K) (eV per atom): 2.124
Total magnetic moment (μB/atom): 0.7399

2.
The following is a GGA-PBE calculation of Ta4CdP after structural relaxation, from Alexandria via LeMat-Bulk.

a b c (Å): 5.494 5.494 5.494
angles (deg): 60.00 60.00 60.00
Element x y z (fractional)
Ta1 0.124 0.124 0.124
Ta2 0.124 0.124 0.629
Ta3 0.124 0.629 0.124
Ta4 0.629 0.124 0.124
Cd1 0.750 0.750 0.750
P1 0.500 0.500 0.500

Summary:
ΔH_f (0 K) (eV per atom): 0.664
Total magnetic moment (μB/atom): 0.0000

3.
The following is a GGA-PBE calculation of Ta2CdP after structural relaxation, from Alexandria via LeMat-Bulk.

a b c (Å): 2.881 2.881 9.190
angles (deg): 90.00 90.00 90.00
Element x y z (fractional)
Ta1 0.000 0.000 0.000
Ta2 0.500 0.500 0.249
Cd1 0.000 0.000 0.501
P1 0.500 0.500 0.810

Summary:
ΔH_f (0 K) (eV per atom): 0.152
Total magnetic moment (μB/atom): 0.0000
ΔE to the lowest computed polymorph (eV/atom): 0.293

4.
The following is a GGA-PBE calculation of Ta2CdP after structural relaxation, from Alexandria via LeMat-Bulk.

a b c (Å): 4.782 4.782 4.782
angles (deg): 126.47 126.47 79.12
Element x y z (fractional)
Ta1 0.250 0.750 0.500
Ta2 0.750 0.250 0.500
Cd1 0.000 0.000 0.000
P1 0.500 0.500 0.000

Summary:
ΔH_f (0 K) (eV per atom): 0.305
Total magnetic moment (μB/atom): 0.0000
ΔE to the lowest computed polymorph (eV/atom): 0.446

5.
The following is a GGA-PBE calculation of Ta2CdP after structural relaxation, from Alexandria via LeMat-Bulk.

a b c (Å): 3.489 4.339 4.626
angles (deg): 90.00 90.00 90.00
Element x y z (fractional)
Ta1 0.000 0.000 0.000
Ta2 0.500 0.000 0.500
Cd1 0.000 0.500 0.500
P1 0.500 0.500 0.000

Summary:
ΔH_f (0 K) (eV per atom): 0.281
Total magnetic moment (μB/atom): 0.0000
ΔE to the lowest computed polymorph (eV/atom): 0.422

6.
The following is a GGA-PBE calculation of Ta2CdP after structural relaxation, from Alexandria via LeMat-Bulk.

a b c (Å): 7.512 7.512 7.512
angles (deg): 26.59 26.59 26.59
Element x y z (fractional)
Ta1 0.228 0.228 0.228
Ta2 0.772 0.772 0.772
Cd1 0.000 0.000 0.000
P1 0.500 0.500 0.500

Summary:
ΔH_f (0 K) (eV per atom): -0.084
Total magnetic moment (μB/atom): 0.0000
ΔE to the lowest computed polymorph (eV/atom): 0.057

7.
The following is a GGA-PBE calculation of Ta2CdP after structural relaxation, from Alexandria via LeMat-Bulk.

a b c (Å): 4.580 4.580 4.580
angles (deg): 60.00 60.00 60.00
Element x y z (fractional)
Ta1 0.250 0.250 0.250
Ta2 0.750 0.750 0.750
Cd1 0.000 0.000 0.000
P1 0.500 0.500 0.500

Summary:
ΔH_f (0 K) (eV per atom): 0.353
Total magnetic moment (μB/atom): 0.0000
ΔE to the lowest computed polymorph (eV/atom): 0.494

8.
The following is a GGA-PBE calculation of Ta2CdP after structural relaxation, from Alexandria via LeMat-Bulk.

a b c (Å): 2.989 2.989 8.073
angles (deg): 90.00 90.00 104.09
Element x y z (fractional)
Ta1 0.000 0.000 0.205
Ta2 0.000 0.000 0.795
Cd1 0.500 0.500 0.500
P1 0.500 0.500 0.000

Summary:
ΔH_f (0 K) (eV per atom): -0.043
Total magnetic moment (μB/atom): 0.0000
ΔE to the lowest computed polymorph (eV/atom): 0.098

What did the first record say?
The following is a GGA-PBE calculation of SrCdP2W after structural relaxation, from Alexandria via LeMat-Bulk.

a b c (Å): 5.384 5.384 5.911
angles (deg): 90.00 90.00 90.00
Element x y z (fractional)
Sr1 0.000 0.000 0.000
Cd1 0.500 0.500 0.500
P1 0.000 0.500 0.000
P2 0.500 0.000 0.000
W1 0.000 0.000 0.500

Summary:
ΔH_f (0 K) (eV per atom): 2.124
Total magnetic moment (μB/atom): 0.7399